Computed, not measured: LiTbPmFe after structural relaxation at the PBE level of DFT.

- Formation enthalpy at 0 K: 0.133 eV/atom
- V: 84 Å³/cell

Cell: 4.919 4.919 4.919 Å, 60.00 60.00 60.00°
Sites, in units of the cell vectors:
Li (0.000, 0.000, 0.000)
Tb (0.750, 0.750, 0.750)
Pm (0.250, 0.250, 0.250)
Fe (0.500, 0.500, 0.500)

Computed, not measured: TaCr2Cl after structural relaxation at the PBE level of DFT.

- Energy above the most stable polymorph in this dataset: 881 meV/atom
- Formation energy (no corrections): 0.97 eV/atom
- V: 63 Å³/cell

Cell: 4.457 4.457 4.457 Å, 60.00 60.00 60.00°
Sites, in units of the cell vectors:
Ta (0.000, 0.000, 0.000)
Cr (0.250, 0.250, 0.250)
Cr (0.750, 0.750, 0.750)
Cl (0.500, 0.500, 0.500)

Computed, not measured: Rb2TiTcBr6 after structural relaxation at the PBE level of DFT.

- Formation energy (no corrections): -0.92 eV/atom
- V: 321 Å³/cell

Cell: 7.682 7.682 7.682 Å, 119.91 119.91 90.16°
Sites, in units of the cell vectors:
Rb (0.250, 0.750, 0.500)
Rb (0.750, 0.250, 0.500)
Ti (0.000, 0.000, 0.000)
Tc (0.500, 0.500, 0.000)
Br (0.245, 0.245, 0.000)
Br (0.245, 0.245, 0.490)
Br (0.245, 0.755, 0.000)
Br (0.755, 0.245, 0.000)
Br (0.755, 0.755, 0.000)
Br (0.755, 0.755, 0.510)